1.
Zr3Re5 | GGA-PBE | relaxed

The structure in POSCAR format:
```
Zr3Re5
1.0
8.1108 0.0000 0.0000
0.0000 5.1361 0.0000
4.0554 0.0000 7.0243
Re Zr
10 6
Cartesian
10.6241 1.2840 7.0242
4.0554 2.5681 2.3414
7.3398 3.8521 1.3349
11.3951 3.8521 5.6891
4.0554 0.0000 2.3414
8.1107 0.0000 4.6828
8.1107 2.5681 4.6828
4.8260 1.2840 5.6892
8.8813 1.2840 1.3347
5.5965 3.8521 7.0241
5.6286 3.8521 4.2992
6.5375 1.2840 2.7249
10.5929 1.2840 4.2993
9.0194 3.8521 7.0242
9.6839 3.8521 2.7248
7.2017 1.2840 7.0242
```

Properties
The value obtained for the relative energy among the computed polymorphs is 496 meV per atom. As for the magnetization: 0.00 μB per formula unit.

2.
Zr2Re | GGA-PBE | relaxed

The structure in POSCAR format:
```
Zr2Re
1.0
3.3483 0.0000 0.0000
-1.6742 7.3072 0.0000
0.0000 0.0000 4.8566
Zr Re
4 2
Cartesian
1.6742 3.3325 1.2141
0.0000 3.9747 3.6424
1.6742 1.1169 3.6424
0.0000 6.1903 1.2141
1.6742 6.1486 3.6424
0.0000 1.1586 1.2141
```

Properties
As for the magnetization: 0.00 μB per formula unit.

3.
Zr2Re | GGA-PBE | relaxed

The structure in POSCAR format:
```
Zr2Re
1.0
-3.5279 -2.7172 3.1848
2.1058 4.4840 2.3306
-2.7455 1.6199 -4.4509
Zr Re
4 2
Cartesian
-2.8502 1.6098 1.9734
-1.3174 1.7769 -0.9089
0.1931 3.0489 2.2972
-4.3608 0.3378 -1.2326
-1.0666 1.3251 4.1366
-0.3555 0.4417 1.3789
```

Properties
As for the magnetization: 0.00 μB per formula unit.

4.
ZrRe8 | GGA-PBE | relaxed

The structure in POSCAR format:
```
ZrRe8
1.0
5.3082 2.6711 -2.1573
-2.6596 -2.5463 5.1389
0.7392 -5.4610 -3.0978
Zr Re
1 8
Cartesian
0.0000 0.0000 0.0000
2.0859 -0.9623 -1.8126
1.3186 -3.4497 -1.0269
-0.1139 -0.8793 2.8078
-0.6624 -2.7619 0.7040
2.7625 1.0042 0.1739
2.0692 -1.8865 0.9107
-1.2580 -5.2454 1.3371
3.9616 -1.8276 -3.4425
```

Properties
As for the magnetization: 0.00 μB per formula unit.

5.
Zr3Re | GGA-PBE | relaxed

The structure in POSCAR format:
```
Zr3Re
1.0
5.8123 0.0034 -0.0045
0.9799 3.2330 0.0000
-2.0688 0.6270 4.4059
Zr Re
3 1
Cartesian
-0.3722 1.8778 1.8360
2.5414 0.9948 0.5959
2.5271 2.7641 3.0706
-1.8966 0.5748 4.0390
```

Properties
As for the magnetization: 0.00 μB per formula unit.

6.
Zr3Re | GGA-PBE | relaxed

The structure in POSCAR format:
```
Zr3Re
1.0
-4.9594 -0.9555 0.9655
1.3515 -3.8394 3.1422
0.1370 3.2844 3.9541
Zr Re
3 1
Cartesian
-2.4797 -0.4778 0.4828
0.6757 -1.9197 1.5711
0.0685 1.6422 1.9771
0.0000 0.0000 0.0000
```

Properties
As for the magnetization: 0.00 μB per formula unit.

7.
ZrRe2 | GGA-PBE | relaxed

The structure in POSCAR format:
```
ZrRe2
1.0
1.8534 6.3205 -0.3312
-6.3309 -1.6299 -0.8701
-0.7105 0.4364 4.3521
Zr Re
3 6
Cartesian
-0.8747 3.6704 -0.5109
-0.3553 0.2182 2.1760
-3.6028 1.0202 -0.6905
-1.4783 -0.3806 -0.2032
0.5357 3.2567 2.0168
-3.3988 -0.5653 1.7577
-2.6802 2.6539 1.5522
0.4328 1.4759 -0.0773
-3.4320 3.5953 -0.9208
```

Properties
As for the magnetization: 0.00 μB per formula unit.

8.
ZrRe2 | GGA-PBE | relaxed

The structure in POSCAR format:
```
ZrRe2
1.0
1.5971 -6.9546 0.0000
1.5971 6.9546 0.0000
0.0000 0.0000 4.5962
Zr Re
2 4
Cartesian
1.5971 -5.7826 1.1491
1.5971 5.7826 3.4472
1.5971 -3.5561 3.4472
1.5971 -1.2682 1.1491
1.5971 3.5561 1.1491
1.5971 1.2682 3.4472
```

Properties
As for the magnetization: 0.00 μB per formula unit.

9.
ZrRe2 | GGA-PBE | relaxed

The structure in POSCAR format:
```
ZrRe2
1.0
2.3130 -6.9033 0.0000
2.3130 6.9033 0.0000
0.0000 0.0000 3.1702
Re Zr
4 2
Cartesian
2.3130 3.5641 2.3777
2.3130 5.7434 0.7926
2.3130 -3.5641 0.7926
2.3130 -5.7434 2.3777
2.3130 1.2319 0.7926
2.3130 -1.2319 2.3777
```

Properties
As for the magnetization: 0.00 μB per formula unit.

10.
Zr3Re2 | GGA-PBE | relaxed

The structure in POSCAR format:
```
Zr3Re2
1.0
-4.8279 -6.7512 2.0124
-6.4532 -1.5522 3.5226
-2.7271 -2.8444 -4.0526
Re Zr
4 6
Cartesian
-5.2731 -4.4692 -1.1990
-8.7751 -7.2561 -0.8284
-8.7351 -6.6786 2.6814
-12.2372 -9.4655 3.0520
-2.5852 -2.2018 -0.6570
-4.4189 -3.3720 1.3982
-10.3643 -7.7182 4.5074
-3.6440 -3.4295 -3.0250
-7.0041 -5.5739 0.7412
-10.5062 -8.3608 1.1118
```

Properties
The value obtained for the relative energy among the computed polymorphs is 1 meV per atom. As for the magnetization: 0.00 μB per formula unit.

11.
ZrRe | GGA-PBE | relaxed

The structure in POSCAR format:
```
ZrRe
1.0
7.9927 0.0000 0.0000
0.0000 7.9927 0.0000
0.0000 0.0000 4.9236
Zr Re
8 8
Cartesian
5.6700 0.5827 2.4618
0.5827 5.6700 0.0000
7.4101 2.3228 0.0000
0.5827 2.3228 2.4618
7.4101 5.6700 2.4618
5.6700 7.4101 0.0000
2.3228 7.4101 2.4618
2.3228 0.5827 0.0000
4.5419 2.2645 0.0000
4.5419 5.7282 2.4618
5.7282 3.4509 2.4618
2.2645 3.4509 0.0000
3.4509 5.7282 0.0000
5.7282 4.5419 0.0000
3.4509 2.2645 2.4618
2.2645 4.5419 2.4618
```

Properties
As for the magnetization: 0.00 μB per formula unit.

12.
ZrRe3 | GGA-PBE | relaxed

The structure in POSCAR format:
```
ZrRe3
1.0
-1.0996 -3.1444 -3.8924
4.3521 -2.5675 0.8446
-2.4691 -3.1253 3.2222
Zr Re
2 6
Cartesian
0.3917 -4.4186 0.0872
0.0000 0.0000 0.0000
-1.1671 -2.3535 -1.1406
1.3514 -3.6420 -2.4970
-0.1465 -2.2045 1.8223
1.9012 -2.0698 -0.5508
-2.4016 -3.9162 0.4705
2.0296 -3.4883 2.2446
```

Properties
The value obtained for the relative energy among the computed polymorphs is 257 meV per atom. As for the magnetization: 0.00 μB per formula unit.

13.
Zr4Re5 | GGA-PBE | relaxed

The structure in POSCAR format:
```
Zr4Re5
1.0
-4.9634 4.9634 1.6145
4.9634 -4.9634 1.6145
4.9634 4.9634 -1.6145
Re Zr
5 4
Cartesian
1.6507 -1.6507 1.6145
1.6507 1.6507 1.6145
3.3126 3.3126 0.0000
0.0000 0.0000 0.0000
-1.6507 1.6507 1.6145
0.0000 6.7952 0.0000
6.7952 0.0000 0.0000
3.1315 0.0000 0.0000
0.0000 3.1315 0.0000
```

Properties
The value obtained for the relative energy among the computed polymorphs is 0 meV per atom. As for the magnetization: 0.00 μB per formula unit.

14.
ZrRe3 | GGA-PBE | relaxed

The structure in POSCAR format:
```
ZrRe3
1.0
3.2237 -4.5265 0.0000
3.2237 4.5265 0.0000
0.0000 0.0000 4.4973
Re Zr
6 2
Cartesian
1.5678 1.1267 3.3729
4.8796 1.1267 3.3729
3.2237 -3.4431 1.1243
3.2237 3.4431 3.3729
1.5678 -1.1267 1.1243
4.8796 -1.1267 1.1243
3.2237 -1.1512 3.3729
3.2237 1.1512 1.1243
```

Properties
The value obtained for the relative energy among the computed polymorphs is 22 meV per atom. As for the magnetization: 0.00 μB per formula unit.

15.
ZrRe | GGA-PBE | relaxed

The structure in POSCAR format:
```
ZrRe
1.0
-4.1242 0.3428 -1.0111
-2.6128 -3.3183 0.5575
-2.9459 0.1017 3.0758
Zr Re
1 1
Cartesian
-7.2622 -2.1554 1.9667
0.0000 0.0000 0.0000
```

Properties
As for the magnetization: 0.04 μB per formula unit.

16.
ZrRe | GGA-PBE | relaxed

The structure in POSCAR format:
```
ZrRe
1.0
-3.0958 3.4197 0.4812
-2.8202 0.0739 3.6812
0.5798 3.2053 3.3015
Zr Re
2 2
Cartesian
-2.6681 3.3495 3.7320
-1.3341 1.6747 1.8660
-4.0022 5.0242 5.5979
0.0000 0.0000 0.0000
```

Properties
As for the magnetization: 0.00 μB per formula unit.

17.
Zr3Re | GGA-PBE | relaxed

The structure in POSCAR format:
```
Zr3Re
1.0
-2.7982 1.6872 -2.8607
-1.3821 -3.9930 -1.0032
-3.0200 0.2640 3.1097
Zr Re
3 1
Cartesian
-2.9091 0.9756 0.1245
-2.0901 -1.1529 -1.9320
-2.2010 -1.8645 1.0533
0.0000 0.0000 0.0000
```

Properties
As for the magnetization: 0.00 μB per formula unit.

18.
ZrRe2 | GGA-PBE | relaxed

The structure in POSCAR format:
```
ZrRe2
1.0
0.0000 2.3047 6.8207
1.6046 0.0000 6.8207
1.6046 2.3047 0.0000
Re Zr
2 1
Cartesian
1.6046 2.3047 4.4581
1.6046 2.3047 9.1833
0.0000 0.0000 0.0000
```

Properties
As for the magnetization: 0.00 μB per formula unit.

19.
ZrRe2 | GGA-PBE | relaxed

The structure in POSCAR format:
```
ZrRe2
1.0
-2.8794 3.4953 -1.4415
-1.6276 -3.3581 2.9429
1.4743 2.9292 4.1578
Re Zr
4 2
Cartesian
-1.3564 3.4078 3.1383
0.0000 0.0000 0.0000
0.7371 1.4646 2.0789
-1.6763 -0.3413 2.5209
-0.9392 1.1233 4.5998
-2.0936 1.9432 1.0594
```

Properties
As for the magnetization: 0.00 μB per formula unit.

20.
Zr2Re | GGA-PBE | relaxed

The structure in POSCAR format:
```
Zr2Re
1.0
1.6620 -7.0754 0.0000
1.6620 7.0754 0.0000
0.0000 0.0000 5.0336
Zr Re
4 2
Cartesian
1.6620 -1.3921 1.2584
1.6620 -5.6898 1.2584
1.6620 5.6898 3.7752
1.6620 1.3921 3.7752
1.6620 -3.5354 3.7752
1.6620 3.5354 1.2584
```

Properties
As for the magnetization: 0.00 μB per formula unit.

Ordered calculated total energy results: -10.634, -10.017, -9.953, -11.996, -9.665, -8.437, -10.441, -11.247, -11.168, -10.069, -10.187, -11.227, -10.733, -11.462, -8.378, -10.586, -9.362, -11.069, -10.772, -9.847; unit eV per atom.
Ordered energy of formation results: 352, -168, -105, 18, -142, 1086, 707, -99, -20, 39, 311, 246, -18, 11, 2120, -87, 161, 80, 376, 1; unit meV/atom.